Density functional theory data (GGA-PBE) for a relaxed structure of BaNi3.

Lattice parameters (Å, degrees): 7.2576 7.2576 6.9055 90.00 90.00 120.00
Last column: nearest neighbours and their distance in Å.
Element x y z (fractional)
Ba1 0.0000 0.0000 0.0000  12 Ni 3.33-3.63, 2 Ba 3.45
Ba2 0.0000 0.0000 0.5000  12 Ni 3.33-3.63, 2 Ba 3.45
Ba3 0.3333 0.6667 0.2500  6 Ni 2.71
Ba4 0.6667 0.3333 0.7500  6 Ni 2.71
Ni1 0.0000 0.5000 0.0000  4 Ni 2.52, 2 Ba 2.71
Ni2 0.0000 0.5000 0.5000  4 Ni 2.52, 2 Ba 2.71
Ni3 0.2262 0.4524 0.7500  6 Ni 2.33-2.52
Ni4 0.2262 0.7738 0.7500  6 Ni 2.33-2.52
Ni5 0.4524 0.2262 0.2500  6 Ni 2.33-2.52
Ni6 0.5000 0.0000 0.0000  4 Ni 2.52, 2 Ba 2.71
Ni7 0.5000 0.0000 0.5000  4 Ni 2.52, 2 Ba 2.71
Ni8 0.5000 0.5000 0.0000  4 Ni 2.52, 2 Ba 2.71
Ni9 0.5000 0.5000 0.5000  4 Ni 2.52, 2 Ba 2.71
Ni10 0.5476 0.7738 0.7500  6 Ni 2.33-2.52
Ni11 0.7738 0.2262 0.2500  6 Ni 2.33-2.52
Ni12 0.7738 0.5476 0.2500  6 Ni 2.33-2.52

Results
- Uncorrected energy: -70.17 eV/cell
- Magnetic moment: 0.2339 μB/atom
- Space group: P6_3/mmc (194)
- Formation enthalpy at 0 K: 1.7 eV/f.u.